[1]
The following is a DFT calculation (PBE) of a relaxed AcTm3As4O12 crystal. Values from VASP.

Structure (Quantum ESPRESSO input):
```
&SYSTEM
  ibrav = 0, nat = 20, ntyp = 4
/
ATOMIC_SPECIES
Ac 227.00 Ac.upf
Tm 168.93 Tm.upf
As 74.92 As.upf
O 16.00 O.upf
ATOMIC_POSITIONS crystal
Ac 0.0000 0.0000 0.0000
Tm 0.0000 0.5719 0.4281
Tm 0.4281 0.0000 0.5719
Tm 0.5719 0.4281 0.0000
As 0.0986 0.5000 0.9014
As 0.5000 0.5000 0.5000
As 0.5000 0.9014 0.0986
As 0.9014 0.0986 0.5000
O 0.0060 0.2477 0.3410
O 0.0610 0.9390 0.5000
O 0.2477 0.3410 0.0060
O 0.3301 0.6699 0.5000
O 0.3410 0.0060 0.2477
O 0.5000 0.0610 0.9390
O 0.5000 0.3301 0.6699
O 0.6590 0.7523 0.9940
O 0.6699 0.5000 0.3301
O 0.7523 0.9940 0.6590
O 0.9390 0.5000 0.0610
O 0.9940 0.6590 0.7523
CELL_PARAMETERS angstrom
5.6397 3.2561 2.8071
-5.6397 3.2561 2.8071
0.0000 -6.5121 2.8071
```

Summary:
As for the magnetic moment: 0.000 μB/atom. The value obtained for the energy relative to the elements, uncorrected is -42.211 eV/f.u. The raw total energy comes out at -137.8 eV per cell.


[2]
The following is a DFT calculation (PBE) of a relaxed AcTm2AsO8 crystal. Values from VASP.

Structure (Quantum ESPRESSO input):
```
&SYSTEM
  ibrav = 0, nat = 12, ntyp = 4
/
ATOMIC_SPECIES
Ac 227.00 Ac.upf
Tm 168.93 Tm.upf
As 74.92 As.upf
O 16.00 O.upf
ATOMIC_POSITIONS crystal
Ac 0.0000 0.0000 0.0000
Tm 0.3385 0.5091 0.2994
Tm 0.6615 0.4909 0.7006
As 0.5000 0.0000 0.5000
O 0.2050 0.2680 0.6116
O 0.2195 0.7380 0.6199
O 0.2480 0.4992 0.9987
O 0.3951 0.9877 0.2477
O 0.6049 0.0123 0.7523
O 0.7520 0.5008 0.0013
O 0.7805 0.2620 0.3801
O 0.7950 0.7320 0.3884
CELL_PARAMETERS angstrom
4.3267 0.0000 0.0000
0.0914 5.0507 0.0000
2.1150 -0.0113 6.5018
```

Summary:
As for the magnetic moment: 0.000 μB/atom. The value obtained for the energy relative to the elements, uncorrected is -29.875 eV/f.u. The raw total energy comes out at -87.2 eV per cell.


[3]
The following is a DFT calculation (PBE) of a relaxed AcTmAsO5 crystal. Values from VASP.

Structure (Quantum ESPRESSO input):
```
&SYSTEM
  ibrav = 0, nat = 16, ntyp = 4
/
ATOMIC_SPECIES
Ac 227.00 Ac.upf
Tm 168.93 Tm.upf
As 74.92 As.upf
O 16.00 O.upf
ATOMIC_POSITIONS crystal
Ac 0.1807 0.8193 0.7500
Ac 0.8193 0.1807 0.2500
Tm 0.5000 0.5000 0.0000
Tm 0.5000 0.5000 0.5000
As 0.1898 0.8102 0.2500
As 0.8102 0.1898 0.7500
O 0.1112 0.2441 0.8995
O 0.1638 0.6146 0.4061
O 0.2441 0.1112 0.3995
O 0.3854 0.8362 0.0939
O 0.4252 0.5748 0.7500
O 0.5748 0.4252 0.2500
O 0.6146 0.1638 0.9061
O 0.7559 0.8888 0.6005
O 0.8362 0.3854 0.5939
O 0.8888 0.7559 0.1005
CELL_PARAMETERS angstrom
3.7782 -4.7706 0.0000
3.7782 4.7706 0.0000
-3.6379 0.0000 7.2205
```

Summary:
As for the magnetic moment: 0.104 μB/atom. The value obtained for the energy relative to the elements, uncorrected is -20.624 eV/f.u. The raw total energy comes out at -117.3 eV per cell.


[4]
The following is a DFT calculation (PBE) of a relaxed AcTmAs2O8 crystal. Values from VASP.

Structure (Quantum ESPRESSO input):
```
&SYSTEM
  ibrav = 0, nat = 12, ntyp = 4
/
ATOMIC_SPECIES
Ac 227.00 Ac.upf
Tm 168.93 Tm.upf
As 74.92 As.upf
O 16.00 O.upf
ATOMIC_POSITIONS crystal
Ac 0.0000 0.0000 0.0000
Tm 0.2500 0.7500 0.5000
As 0.5000 0.5000 0.0000
As 0.7500 0.2500 0.5000
O 0.2969 0.6693 0.1284
O 0.3307 0.4591 0.6276
O 0.4303 0.0246 0.0977
O 0.5409 0.1685 0.8716
O 0.6675 0.5697 0.5943
O 0.8315 0.7031 0.3724
O 0.9268 0.3325 0.9023
O 0.9754 0.0732 0.4057
CELL_PARAMETERS angstrom
-2.5860 2.5860 5.9064
2.5860 -2.5860 5.9064
2.5860 2.5860 -5.9064
```

Summary:
As for the magnetic moment: 0.000 μB/atom. The value obtained for the energy relative to the elements, uncorrected is -27.878 eV/f.u. The raw total energy comes out at -85.4 eV per cell.


Question: What is the magnetic moment in the fourth record?
Answer: 0.000 μB/atom


Question: Which value of energy relative to the elements, uncorrected does entry 4 give?
Answer: -27.878 eV/f.u.


Repeat the fourth record exactly.
The following is a DFT calculation (PBE) of a relaxed AcTmAs2O8 crystal. Values from VASP.

Structure (Quantum ESPRESSO input):
```
&SYSTEM
  ibrav = 0, nat = 12, ntyp = 4
/
ATOMIC_SPECIES
Ac 227.00 Ac.upf
Tm 168.93 Tm.upf
As 74.92 As.upf
O 16.00 O.upf
ATOMIC_POSITIONS crystal
Ac 0.0000 0.0000 0.0000
Tm 0.2500 0.7500 0.5000
As 0.5000 0.5000 0.0000
As 0.7500 0.2500 0.5000
O 0.2969 0.6693 0.1284
O 0.3307 0.4591 0.6276
O 0.4303 0.0246 0.0977
O 0.5409 0.1685 0.8716
O 0.6675 0.5697 0.5943
O 0.8315 0.7031 0.3724
O 0.9268 0.3325 0.9023
O 0.9754 0.0732 0.4057
CELL_PARAMETERS angstrom
-2.5860 2.5860 5.9064
2.5860 -2.5860 5.9064
2.5860 2.5860 -5.9064
```

Summary:
As for the magnetic moment: 0.000 μB/atom. The value obtained for the energy relative to the elements, uncorrected is -27.878 eV/f.u. The raw total energy comes out at -85.4 eV per cell.